Entry 1:
Crystalline TbInAg3Te4 at its relaxed geometry. Source: OQMD via LeMat-Bulk, functional PBE.

The space group is P2_1/m (No. 11) and the conventional cell measures 6.380, 8.148 and 10.925 Å, with angles of 90.00, 106.32 and 90.00 degrees. The inequivalent atoms are Tb at (0.088, 0.250, 0.310), In at (0.234, 0.250, 0.937), Ag at (0.295, 0.561, 0.528), Ag at (0.445, 0.750, 0.776), Te at (0.080, 0.250, 0.587), Te at (0.214, 0.750, 0.952) and Te at (0.349, 0.532, 0.266).

For the offset from the most stable computed form, the calculation gives 60 meV per atom.

---

Entry 2:
Crystalline Lu2MgAs at its relaxed geometry. Source: OQMD via LeMat-Bulk, functional PBE.

The space group is F-43m (No. 216) and the conventional cell measures 7.251, 7.251 and 7.251 Å, with angles of 90.00, 90.00 and 90.00 degrees. The inequivalent atoms are Lu at (0.000, 0.000, 0.000), Lu at (0.250, 0.250, 0.250), Mg at (0.250, 0.250, 0.750) and As at (0.000, 0.000, 0.500).

For the uncorrected energy, the calculation gives -60.26 eV per cell.